# TlTe2PdAu (GGA-PBE, optimized geometry)
# Raw formation energy = -0.173 eV/atom
data_TlTe2PdAu
_chemical_formula_sum 'Tl4 Te8 Pd4 Au4'
_cell_length_a 5.9546
_cell_length_b 11.8946
_cell_length_c 8.2804
_cell_angle_alpha 90.00
_cell_angle_beta 90.00
_cell_angle_gamma 90.00
_symmetry_space_group_name_H-M 'C m m e'
_symmetry_Int_Tables_number 67
_symmetry_space_group_name_Hall '-C 2a 2'
loop_
_atom_site_label
_atom_site_type_symbol
_atom_site_fract_x
_atom_site_fract_y
_atom_site_fract_z
Tl1 Tl 0.0000 0.2500 0.1966
Te1 Te 0.0000 0.1070 0.7173
Pd1 Pd 0.2500 0.0000 0.5000
Au1 Au 0.0000 0.0000 0.0000



# ZrTePdAu2 (GGA-PBE, optimized geometry)
# Raw formation energy = 0.772 eV/atom
data_ZrTePdAu2
_chemical_formula_sum 'Zr1 Te1 Pd1 Au2'
_cell_length_a 5.0788
_cell_length_b 5.0788
_cell_length_c 5.3655
_cell_angle_alpha 90.00
_cell_angle_beta 90.00
_cell_angle_gamma 90.00
_symmetry_space_group_name_H-M 'P 4/m m m'
_symmetry_Int_Tables_number 123
_symmetry_space_group_name_Hall '-P 4 2'
loop_
_atom_site_label
_atom_site_type_symbol
_atom_site_fract_x
_atom_site_fract_y
_atom_site_fract_z
Zr1 Zr 0.0000 0.0000 0.0000
Te1 Te 0.0000 0.0000 0.5000
Pd1 Pd 0.5000 0.5000 0.0000
Au1 Au 0.0000 0.5000 0.5000



# Th2Pd7Au2 (GGA-PBE, optimized geometry)
# ΔE_f = -0.582 eV per atom
data_Th2Pd7Au2
_chemical_formula_sum 'Th4 Pd14 Au4'
_cell_length_a 9.8306
_cell_length_b 9.2823
_cell_length_c 5.4539
_cell_angle_alpha 90.00
_cell_angle_beta 120.40
_cell_angle_gamma 90.00
_symmetry_space_group_name_H-M 'C 1 2/m 1'
_symmetry_Int_Tables_number 12
loop_
_symmetry_equiv_pos_as_xyz
'x,y,z'
'-x,-y,-z'
'-x,y,-z'
'x,-y,z'
'x+1/2,y+1/2,z'
'-x+1/2,-y+1/2,-z'
'-x+1/2,y+1/2,-z'
'x+1/2,-y+1/2,z'
loop_
_atom_site_label
_atom_site_type_symbol
_atom_site_fract_x
_atom_site_fract_y
_atom_site_fract_z
Th1 Th 0.0000 0.2213 0.0000
Pd1 Pd 0.0000 0.0000 0.5000
Pd2 Pd 0.1675 0.2477 0.6696
Pd3 Pd 0.2326 0.5000 0.9691
Au1 Au 0.1933 0.5000 0.4341



# ThPd4Au5 (GGA-PBE, optimized geometry)
# Energy above the lowest structure with this stoichiometry = 74 meV/atom
# ΔE_f = -0.306 eV per atom
data_ThPd4Au5
_chemical_formula_sum 'Th2 Pd8 Au10'
_cell_length_a 8.3971
_cell_length_b 9.6557
_cell_length_c 4.8004
_cell_angle_alpha 90.00
_cell_angle_beta 90.00
_cell_angle_gamma 90.00
_symmetry_space_group_name_H-M 'P m m n'
_symmetry_Int_Tables_number 59
loop_
_symmetry_equiv_pos_as_xyz
'x,y,z'
'-x,-y,-z'
'-x+1/2,-y+1/2,z'
'x+1/2,y+1/2,-z'
'x+1/2,-y,-z'
'-x+1/2,y,z'
'-x,y+1/2,-z'
'x,-y+1/2,z'
loop_
_atom_site_label
_atom_site_type_symbol
_atom_site_fract_x
_atom_site_fract_y
_atom_site_fract_z
Th1 Th 0.2500 0.2500 0.2087
Pd1 Pd 0.0095 0.7500 0.4080
Pd2 Pd 0.2500 0.5411 0.2636
Au1 Au 0.0824 0.5072 0.7552
Au2 Au 0.2500 0.7500 0.8535



# Th2PdAu2 (GGA-PBE, optimized geometry)
# ΔE_f = -0.552 eV per atom
data_Th2PdAu2
_chemical_formula_sum 'Th4 Pd2 Au4'
_cell_length_a 10.2342
_cell_length_b 4.2121
_cell_length_c 6.1048
_cell_angle_alpha 90.00
_cell_angle_beta 99.04
_cell_angle_gamma 90.00
_symmetry_space_group_name_H-M 'C 1 2/m 1'
_symmetry_Int_Tables_number 12
loop_
_symmetry_equiv_pos_as_xyz
'x,y,z'
'-x,-y,-z'
'-x,y,-z'
'x,-y,z'
'x+1/2,y+1/2,z'
'-x+1/2,-y+1/2,-z'
'-x+1/2,y+1/2,-z'
'x+1/2,-y+1/2,z'
loop_
_atom_site_label
_atom_site_type_symbol
_atom_site_fract_x
_atom_site_fract_y
_atom_site_fract_z
Th1 Th 0.1795 0.0000 0.2207
Pd1 Pd 0.0000 0.5000 0.0000
Au1 Au 0.1099 0.0000 0.6968



# Th2Pd3Au (GGA-PBE, optimized geometry)
# Energy above the lowest structure with this stoichiometry = 75 meV/atom
# ΔE_f = -0.739 eV per atom
data_Th2Pd3Au
_chemical_formula_sum 'Th16 Pd24 Au8'
_cell_length_a 7.2599
_cell_length_b 10.0096
_cell_length_c 14.8500
_cell_angle_alpha 90.00
_cell_angle_beta 90.00
_cell_angle_gamma 90.00
_symmetry_space_group_name_H-M 'F m m m'
_symmetry_Int_Tables_number 69
_symmetry_space_group_name_Hall '-F 2 2'
loop_
_atom_site_label
_atom_site_type_symbol
_atom_site_fract_x
_atom_site_fract_y
_atom_site_fract_z
Th1 Th 0.2480 0.0000 0.0000
Th2 Th 0.2500 0.2500 0.2500
Pd1 Pd 0.0000 0.0000 0.3530
Pd2 Pd 0.0000 0.2449 0.0914
Au1 Au 0.0000 0.0000 0.1711



# Th2PdAu (GGA-PBE, optimized geometry)
# ΔE_f = -0.541 eV per atom
data_Th2PdAu
_chemical_formula_sum 'Th6 Pd3 Au3'
_cell_length_a 4.0806
_cell_length_b 4.0806
_cell_length_c 22.9586
_cell_angle_alpha 90.00
_cell_angle_beta 90.00
_cell_angle_gamma 120.00
_symmetry_space_group_name_H-M 'R 3 m'
_symmetry_Int_Tables_number 160
_symmetry_space_group_name_Hall 'R 3 -2"'
loop_
_atom_site_label
_atom_site_type_symbol
_atom_site_fract_x
_atom_site_fract_y
_atom_site_fract_z
Th1 Th 0.0000 0.0000 0.0000
Th2 Th 0.0000 0.0000 0.1788
Pd1 Pd 0.0000 0.0000 0.5886
Au1 Au 0.0000 0.0000 0.7574



# ThPd2Au (GGA-PBE, optimized geometry)
# ΔE_f = -0.708 eV per atom
data_ThPd2Au
_chemical_formula_sum 'Th4 Pd8 Au4'
_cell_length_a 6.8696
_cell_length_b 6.8696
_cell_length_c 6.8696
_cell_angle_alpha 90.00
_cell_angle_beta 90.00
_cell_angle_gamma 90.00
_symmetry_space_group_name_H-M 'F m -3 m'
_symmetry_Int_Tables_number 225
_symmetry_space_group_name_Hall '-F 4 2 3'
loop_
_atom_site_label
_atom_site_type_symbol
_atom_site_fract_x
_atom_site_fract_y
_atom_site_fract_z
Th1 Th 0.0000 0.0000 0.0000
Pd1 Pd 0.2500 0.2500 0.2500
Au1 Au 0.0000 0.0000 0.5000



D(E_F)? In order: 8.49; 5.00; 11.25; 7.51; 7.95; 36.10; 12.30; 11.34 states/eV/cell.